[1]
# Sb2TeC

Crystalline Sb2TeC at its relaxed geometry (PBE-GGA, Alexandria).

Cell and atoms, written as POSCAR:
```
Sb2TeC
1.0
0.000 3.566 3.566
3.566 0.000 3.566
3.566 3.566 0.000
Sb Te C
2 1 1
direct
0.250 0.250 0.250
0.750 0.750 0.750
0.000 0.000 0.000
0.500 0.500 0.500
```

---

[2]
# Sb2Te2C

Crystalline Sb2Te2C at its relaxed geometry (PBE-GGA, Alexandria).

Cell and atoms, written as POSCAR:
```
Sb2Te2C
1.0
6.426 0.000 0.000
0.000 6.426 0.000
0.000 0.000 6.361
Sb Te C
4 4 2
direct
0.242 0.258 0.000
0.258 0.758 0.000
0.742 0.242 0.000
0.758 0.742 0.000
0.211 0.289 0.500
0.289 0.789 0.500
0.711 0.211 0.500
0.789 0.711 0.500
0.000 0.000 0.500
0.500 0.500 0.500
```

---

no.,E_form (uncorrected) (kJ/mol of atoms)
1,149.3
2,94.1